(1)
## Ce2DyYN4 (PBE-GGA)

Data for a relaxed Ce2DyYN4 crystal.

Formation energy (no corrections) ... -1.594 eV per atom
Uncorrected energy ... -68.98 eV per cell
Size of the total moment ... 0.07 μB/atom

Cell lengths 3.522, 6.098, 6.102 Å; angles 109.46, 90.00, 90.00 degrees
Last column: magnetic moment on the atom in μB.
Positions (direct):
Ce  0.500  0.000  0.500  0.23
Ce  0.000  0.500  0.500  0.23
Dy  0.500  0.500  0.000  0.01
Y  0.000  0.000  0.000  0.01
N  0.500  0.250  0.249  -0.01
N  0.500  0.750  0.751  -0.01
N  0.000  0.251  0.751  -0.01
N  0.000  0.749  0.249  -0.01

***

(2)
## LaPuMg (PBE-GGA)

Data for a relaxed LaPuMg crystal.

Uncorrected energy ... -20.39 eV per cell
Energy of formation from the pure elements ... 0.153 eV/atom
Size of the total moment ... 1.99 μB/atom

Cell lengths 3.262, 5.528, 5.528 Å; angles 120.00, 90.00, 90.00 degrees
Last column: magnetic moment on the atom in μB.
Positions (direct):
Mg  0.019  0.000  0.000  -0.01
La  0.683  0.333  0.667  0.00
Pu  0.298  0.667  0.333  5.59

***

(3)
## Pm6ZnCo2Cl3 (PBE-GGA)

Data for a relaxed Pm6ZnCo2Cl3 crystal.

Formation energy (no corrections) ... -0.821 eV per atom
Uncorrected energy ... -59.38 eV per cell
Size of the total moment ... 0.00 μB/atom

Cell lengths 6.979, 6.979, 7.793 Å; angles 98.56, 98.56, 120.11 degrees
Positions (direct):
Pm  0.931  0.570  0.791
Pm  0.708  0.708  0.209
Pm  0.069  0.430  0.209
Pm  0.570  0.931  0.791
Pm  0.292  0.292  0.791
Pm  0.430  0.069  0.209
Zn  0.000  0.000  0.000
Co  0.334  0.666  0.000
Co  0.666  0.334  0.000
Cl  0.168  0.832  0.500
Cl  0.832  0.168  0.500
Cl  0.500  0.500  0.500

***

Which value of uncorrected energy does entry 2 give? -20.39 eV per cell